(w)
{"formula": "Cs2SnGeI6", "functional": "GGA-PBE", "state": "optimized geometry", "total_magnetization_mub_per_atom": 0.000, "sg": "P4/mmm", "lattice": [[6.1527, 0.0000, 0.0000], [0.0000, 6.1527, 0.0000], [0.0000, 0.0000, 12.2591]], "species": ["Cs", "Cs", "Sn", "Ge", "I", "I", "I", "I", "I", "I"], "fractional_positions": [[0.0000, 0.0000, 0.2417], [0.0000, 0.0000, 0.7583], [0.5000, 0.5000, 0.5000], [0.5000, 0.5000, 0.0000], [0.0000, 0.5000, 0.0000], [0.0000, 0.5000, 0.5000], [0.5000, 0.0000, 0.0000], [0.5000, 0.0000, 0.5000], [0.5000, 0.5000, 0.2427], [0.5000, 0.5000, 0.7573]]}


(x)
{"formula": "Cs2SnGeI6", "functional": "GGA-PBE", "state": "optimized geometry", "total_magnetization_mub_per_atom": 0.000, "sg": "Fm-3m", "lattice": [[0.0000, 6.1308, 6.1308], [6.1308, 0.0000, 6.1308], [6.1308, 6.1308, 0.0000]], "species": ["Cs", "Cs", "Sn", "Ge", "I", "I", "I", "I", "I", "I"], "fractional_positions": [[0.2500, 0.2500, 0.2500], [0.7500, 0.7500, 0.7500], [0.0000, 0.0000, 0.0000], [0.5000, 0.5000, 0.5000], [0.2558, 0.2558, 0.7442], [0.2558, 0.7442, 0.2558], [0.2558, 0.7442, 0.7442], [0.7442, 0.2558, 0.2558], [0.7442, 0.2558, 0.7442], [0.7442, 0.7442, 0.2558]]}


Most stable to least stable: (x), (w)


(w)
{"formula": "Cs2TlGeI6", "functional": "GGA-PBE", "state": "optimized geometry", "total_magnetization_mub_per_atom": 0.000, "sg": "I4/mmm", "lattice": [[-4.3542, 4.3542, 6.1409], [4.3542, -4.3542, 6.1409], [4.3542, 4.3542, -6.1409]], "species": ["Cs", "Cs", "Tl", "Ge", "I", "I", "I", "I", "I", "I"], "fractional_positions": [[0.2500, 0.7500, 0.5000], [0.7500, 0.2500, 0.5000], [0.0000, 0.0000, 0.0000], [0.5000, 0.5000, 0.0000], [0.2622, 0.2622, 0.0000], [0.2623, 0.2623, 0.5246], [0.2623, 0.7377, 0.0000], [0.7377, 0.2623, 0.0000], [0.7378, 0.7378, 0.0000], [0.7377, 0.7377, 0.4754]]}


(x)
{"formula": "Cs2TlGeI6", "functional": "GGA-PBE", "state": "optimized geometry", "total_magnetization_mub_per_atom": 0.000, "sg": "P4/mmm", "lattice": [[6.1229, 0.0000, 0.0000], [0.0000, 6.1229, 0.0000], [0.0000, 0.0000, 12.3858]], "species": ["Cs", "Cs", "Tl", "Ge", "I", "I", "I", "I", "I", "I"], "fractional_positions": [[0.0000, 0.0000, 0.2366], [0.0000, 0.0000, 0.7634], [0.5000, 0.5000, 0.5000], [0.5000, 0.5000, 0.0000], [0.0000, 0.5000, 0.0000], [0.0000, 0.5000, 0.5000], [0.5000, 0.0000, 0.0000], [0.5000, 0.0000, 0.5000], [0.5000, 0.5000, 0.2382], [0.5000, 0.5000, 0.7618]]}


Most stable to least stable: (w), (x)